[1]
DFT (PBE) results for a geometry-optimized CdInS4 structure.

Unit cell a=6.7596 b=7.0315 c=7.8705 alpha=111.98 beta=90.14 gamma=117.59
Atoms (fractional coordinates):
1 Cd 0.1311 0.2494 0.3267
2 Cd 0.8689 0.7506 0.6733
3 In 0.4373 0.7965 0.0421
4 In 0.5627 0.2035 0.9579
5 S 0.0570 0.8162 0.1836
6 S 0.2254 0.3614 0.0350
7 S 0.2887 0.8772 0.6195
8 S 0.3647 0.6302 0.6367
9 S 0.6353 0.3698 0.3633
10 S 0.7113 0.1228 0.3805
11 S 0.7746 0.6386 0.9650
12 S 0.9430 0.1838 0.8164


[2]
DFT (PBE) results for a geometry-optimized ScCd2InS structure.

Unit cell a=5.5353 b=5.5353 c=5.7360 alpha=90.00 beta=90.00 gamma=90.00
Atoms (fractional coordinates):
1 Sc 0.0000 0.0000 0.0000
2 Cd 0.0000 0.5000 0.0000
3 Cd 0.5000 0.0000 0.0000
4 In 0.0000 0.0000 0.5000
5 S 0.5000 0.5000 0.5000


[3]
DFT (PBE) results for a geometry-optimized CdInSnS4 structure.

Unit cell a=7.8892 b=7.8892 c=7.8892 alpha=121.20 beta=119.95 gamma=89.01
Atoms (fractional coordinates):
1 Cd 0.3776 0.1276 0.2500
2 Cd 0.6224 0.8724 0.7500
3 In 0.0000 0.5000 0.5000
4 In 0.5000 0.5000 0.0000
5 Sn 0.0000 0.0000 0.5000
6 Sn 0.0000 0.5000 0.0000
7 S 0.2265 0.7358 0.4908
8 S 0.2426 0.2617 0.5191
9 S 0.2426 0.7234 0.9809
10 S 0.2550 0.2642 0.9908
11 S 0.7450 0.7358 0.0092
12 S 0.7574 0.2766 0.0191
13 S 0.7574 0.7383 0.4809
14 S 0.7735 0.2642 0.5092


no.,total magnetization (μB per formula unit),formation energy from raw total energies (eV/atom)
1,0.00,-0.21
2,0.00,0.74
3,0.00,-0.48